# Fe2Ni2O, optimized geometry, DFT GGA+U
data_Fe2Ni2O
_chemical_formula_sum 'Fe4 Ni4 O2'
_cell_length_a 3.400
_cell_length_b 3.400
_cell_length_c 12.662
_cell_angle_alpha 90.00
_cell_angle_beta 90.00
_cell_angle_gamma 90.00
_space_group_name_H-M_alt 'I 4/m m m'
_space_group_IT_number 139
_space_group_name_Hall '-I 4 2'
loop_
_atom_site_label
_atom_site_type_symbol
_atom_site_fract_x
_atom_site_fract_y
_atom_site_fract_z
Fe1 Fe 0.000 0.500 0.250
Ni1 Ni 0.000 0.000 0.097
O1 O 0.000 0.000 0.500
# DFT total energy: -3.14 eV per atom
# Total magnetization: 9.6 μB per formula unit
# DOS(E_F): 4.4 states/eV per cell
# Energy above the most stable polymorph in this dataset: 220 kJ/mol of formula units